Compound: RbPaPO
Source: OQMD via LeMat-Bulk
Functional: PBE-GGA
Structure: optimized geometry

POSCAR file:
```
RbPaPO
1.0
4.041 0.000 0.000
0.000 7.874 0.000
0.000 0.000 7.269
Rb Pa P O
2 2 2 2
Direct
0.000 0.078 0.000
0.000 0.922 0.500
0.500 0.366 0.398
0.500 0.634 0.898
0.500 0.318 0.765
0.500 0.682 0.265
0.000 0.257 0.332
0.000 0.743 0.832
```

Results
- Total energy: -49.3 eV/cell
- Space-group type: Pmc2_1
- Crystal system: orthorhombic

=====

Compound: PaSbPO
Source: OQMD via LeMat-Bulk
Functional: PBE-GGA
Structure: optimized geometry

POSCAR file:
```
PaSbPO
1.0
4.037 0.000 0.000
0.000 4.037 0.000
0.000 0.000 9.903
Pa Sb P O
2 2 2 2
Direct
0.250 0.250 0.134
0.750 0.750 0.866
0.250 0.750 0.500
0.750 0.250 0.500
0.250 0.250 0.745
0.750 0.750 0.255
0.250 0.750 0.000
0.750 0.250 0.000
```

Results
- Total energy: -55.2 eV/cell
- Space-group type: P4/nmm
- Crystal system: tetragonal

=====

no.,magnetic moment (μB per formula unit)
1,1.0
2,1.0